{
  "formula": "Li2CdHg2",
  "functional": "PBE-GGA",
  "state": "optimized geometry",
  "e_tot_ev_per_atom": -1.1606,
  "total_magnetization_mub_per_fu": 0.0,
  "crystal_system": "tetragonal",
  "de_polymorph_mev_per_atom": 183,
  "lattice_angstrom": [[-2.072, 2.072, 6.658], [2.072, -2.072, 6.658], [2.072, 2.072, -6.658]],
  "species": ["Li", "Li", "Cd", "Hg", "Hg"],
  "fractional_positions": [[0.101, 0.101, 0.000], [0.899, 0.899, 0.000], [0.500, 0.500, 0.000], [0.250, 0.750, 0.500], [0.750, 0.250, 0.500]]
}